VASP calculation (PBE-GGA) on Al4C3 after structural relaxation.

Results
Its space group is P1 (1). For the density of states at the Fermi level, the calculation gives 0.07 states/eV/atom. Its energy of formation from the pure elements is 314 meV per atom. As for the calculated volume: 80 Å³/cell. The calculation puts the energy above the most stable polymorph in this dataset at 39.0 kJ per mole of atoms. The value obtained for the total energy is -5.78 eV per atom.

Cell: 3.1881 5.0587 5.5789 Å, 114.06 86.68 103.43°
Closest atoms and distances in Å follow each position.
Fractional coordinates of all 7 atoms:
C 0.4929 0.9528 0.4813  1 C 1.76
C 0.6232 0.3442 0.6168  1 C 1.76
C 0.0745 0.9820 0.0023  5 Al 1.99-2.02
Al 0.0432 0.1717 0.7563  5 C 1.99-2.18
Al 0.2620 0.6613 0.6876  4 C 2.02-2.22
Al 0.6349 0.2077 0.2075  3 C 2.01-2.10
Al 0.9409 0.7482 0.2274  3 C 2.02-2.10